# RbSiAg3 GGA-PBE optimized geometry
# size of the total moment: 0.0 μB per cell
# final energy: -14.63 eV/cell
# polymorph energy (0 for the lowest one): 0 meV per atom
# mass density: 5.7 g cm⁻³
# formation energy from raw total energies: 0.063 eV/atom
data_RbSiAg3
_chemical_formula_sum 'Rb1 Si1 Ag3'
_cell_length_a 5.0444
_cell_length_b 5.0444
_cell_length_c 5.0444
_cell_angle_alpha 90.00
_cell_angle_beta 90.00
_cell_angle_gamma 90.00
_symmetry_space_group_name_H-M 'P 1'
_symmetry_Int_Tables_number 1
loop_
_symmetry_equiv_pos_as_xyz
'x,y,z'
loop_
_atom_site_label
_atom_site_type_symbol
_atom_site_fract_x
_atom_site_fract_y
_atom_site_fract_z
Rb1 Rb 0.0000 0.0000 0.0000
Si1 Si 0.5000 0.5000 0.5000
Ag1 Ag 0.0000 0.5000 0.5000
Ag2 Ag 0.5000 0.0000 0.5000
Ag3 Ag 0.5000 0.5000 0.0000